Material: TbNdMoN3
Method: DFT, PBE
State: relaxed

* formation energy without anion corrections: -1.0209 eV per atom
* size of the total moment: 0.000 μB per atom

Structure (CIF):
```
data_TbNdMoN3
_symmetry_space_group_name_H-M 'P 1'
_symmetry_Int_Tables_number 1
_symmetry_space_group_name_Hall 'P 1'
_cell_length_a 6.174
_cell_length_b 3.538
_cell_length_c 9.087
_cell_angle_alpha 90.00
_cell_angle_beta 103.21
_cell_angle_gamma 90.00
loop_
_atom_site_label
_atom_site_fract_x
_atom_site_fract_y
_atom_site_fract_z
_atom_site_occupancy
Tb1 0.137 0.250 0.147 1
Tb2 0.863 0.750 0.853 1
Nd1 0.349 0.250 0.816 1
Nd2 0.651 0.750 0.184 1
Mo1 0.349 0.750 0.424 1
Mo2 0.651 0.250 0.576 1
N1 0.058 0.750 0.303 1
N2 0.246 0.750 0.986 1
N3 0.482 0.250 0.342 1
N4 0.518 0.750 0.658 1
N5 0.754 0.250 0.014 1
N6 0.942 0.250 0.697 1
```

=====

Material: Tb2NdMoN4
Method: DFT, PBE
State: relaxed

* formation energy without anion corrections: -1.1164 eV per atom
* size of the total moment: 0.000 μB per atom

Structure (CIF):
```
data_Tb2NdMoN4
_symmetry_space_group_name_H-M 'P 1'
_symmetry_Int_Tables_number 1
_symmetry_space_group_name_Hall 'P 1'
_cell_length_a 6.178
_cell_length_b 6.178
_cell_length_c 11.922
_cell_angle_alpha 90.00
_cell_angle_beta 90.00
_cell_angle_gamma 147.56
loop_
_atom_site_label
_atom_site_fract_x
_atom_site_fract_y
_atom_site_fract_z
_atom_site_occupancy
Tb1 0.130 0.870 0.540 1
Tb2 0.130 0.870 0.960 1
Tb3 0.870 0.130 0.040 1
Tb4 0.870 0.130 0.460 1
Nd1 0.404 0.596 0.750 1
Nd2 0.596 0.404 0.250 1
Mo1 0.337 0.663 0.250 1
Mo2 0.663 0.337 0.750 1
N1 0.062 0.938 0.750 1
N2 0.236 0.764 0.124 1
N3 0.236 0.764 0.376 1
N4 0.500 0.500 0.000 1
N5 0.500 0.500 0.500 1
N6 0.764 0.236 0.624 1
N7 0.764 0.236 0.876 1
N8 0.938 0.062 0.250 1
```

=====

Material: NdTm2MoN4
Method: DFT, PBE
State: relaxed

* formation energy without anion corrections: -1.1852 eV per atom
* size of the total moment: 0.000 μB per atom

Structure (CIF):
```
data_NdTm2MoN4
_symmetry_space_group_name_H-M 'P 1'
_symmetry_Int_Tables_number 1
_symmetry_space_group_name_Hall 'P 1'
_cell_length_a 6.101
_cell_length_b 6.101
_cell_length_c 11.721
_cell_angle_alpha 90.00
_cell_angle_beta 90.00
_cell_angle_gamma 147.57
loop_
_atom_site_label
_atom_site_fract_x
_atom_site_fract_y
_atom_site_fract_z
_atom_site_occupancy
Nd1 0.098 0.902 0.750 1
Nd2 0.902 0.098 0.250 1
Tm1 0.370 0.630 0.539 1
Tm2 0.370 0.630 0.961 1
Tm3 0.630 0.370 0.039 1
Tm4 0.630 0.370 0.461 1
Mo1 0.162 0.838 0.250 1
Mo2 0.838 0.162 0.750 1
N1 0.000 0.000 0.000 1
N2 0.000 0.000 0.500 1
N3 0.262 0.738 0.119 1
N4 0.262 0.738 0.381 1
N5 0.440 0.560 0.750 1
N6 0.560 0.440 0.250 1
N7 0.738 0.262 0.619 1
N8 0.738 0.262 0.881 1
```

=====

Material: NdTmMo2N6
Method: DFT, PBE
State: relaxed

* formation energy without anion corrections: -0.8542 eV per atom
* size of the total moment: 0.000 μB per atom

Structure (CIF):
```
data_NdTmMo2N6
_symmetry_space_group_name_H-M 'P 1'
_symmetry_Int_Tables_number 1
_symmetry_space_group_name_Hall 'P 1'
_cell_length_a 7.481
_cell_length_b 7.481
_cell_length_c 6.438
_cell_angle_alpha 107.94
_cell_angle_beta 107.94
_cell_angle_gamma 80.76
loop_
_atom_site_label
_atom_site_fract_x
_atom_site_fract_y
_atom_site_fract_z
_atom_site_occupancy
Nd1 0.094 0.906 0.750 1
Nd2 0.906 0.094 0.250 1
Tm1 0.289 0.711 0.250 1
Tm2 0.711 0.289 0.750 1
Mo1 0.204 0.377 0.795 1
Mo2 0.377 0.204 0.295 1
Mo3 0.623 0.796 0.705 1
Mo4 0.796 0.623 0.205 1
N1 0.002 0.772 0.333 1
N2 0.126 0.621 0.854 1
N3 0.228 0.998 0.167 1
N4 0.331 0.370 0.097 1
N5 0.370 0.331 0.597 1
N6 0.379 0.874 0.646 1
N7 0.621 0.126 0.354 1
N8 0.630 0.669 0.403 1
N9 0.669 0.630 0.903 1
N10 0.772 0.002 0.833 1
N11 0.874 0.379 0.146 1
N12 0.998 0.228 0.667 1
```

=====

Material: Nd2MoWN6
Method: DFT, PBE
State: relaxed

* formation energy without anion corrections: -0.8251 eV per atom
* size of the total moment: 0.000 μB per atom

Structure (CIF):
```
data_Nd2MoWN6
_symmetry_space_group_name_H-M 'P 1'
_symmetry_Int_Tables_number 1
_symmetry_space_group_name_Hall 'P 1'
_cell_length_a 5.615
_cell_length_b 5.662
_cell_length_c 9.722
_cell_angle_alpha 90.00
_cell_angle_beta 125.25
_cell_angle_gamma 90.00
loop_
_atom_site_label
_atom_site_fract_x
_atom_site_fract_y
_atom_site_fract_z
_atom_site_occupancy
Nd1 0.244 0.039 0.250 1
Nd2 0.244 0.461 0.750 1
Nd3 0.756 0.539 0.250 1
Nd4 0.756 0.961 0.750 1
Mo1 0.000 0.000 0.500 1
Mo2 0.000 0.500 0.000 1
W1 0.500 0.000 0.000 1
W2 0.500 0.500 0.500 1
N1 0.180 0.213 0.963 1
N2 0.180 0.287 0.463 1
N3 0.247 0.715 0.963 1
N4 0.247 0.785 0.463 1
N5 0.320 0.011 0.750 1
N6 0.320 0.489 0.250 1
N7 0.680 0.511 0.750 1
N8 0.680 0.989 0.250 1
N9 0.753 0.215 0.537 1
N10 0.753 0.285 0.037 1
N11 0.820 0.713 0.537 1
N12 0.820 0.787 0.037 1
```

=====

Material: Ni5Mo4N
Method: DFT, PBE
State: relaxed

* formation energy without anion corrections: 0.0608 eV per atom
* size of the total moment: 0.000 μB per atom

Structure (CIF):
```
data_Ni5Mo4N
_symmetry_space_group_name_H-M 'P 1'
_symmetry_Int_Tables_number 1
_symmetry_space_group_name_Hall 'P 1'
_cell_length_a 7.155
_cell_length_b 7.155
_cell_length_c 7.155
_cell_angle_alpha 158.43
_cell_angle_beta 109.45
_cell_angle_gamma 74.75
loop_
_atom_site_label
_atom_site_fract_x
_atom_site_fract_y
_atom_site_fract_z
_atom_site_occupancy
Ni1 0.000 0.000 0.000 1
Ni2 0.024 0.185 0.839 1
Ni3 0.347 0.185 0.161 1
Ni4 0.653 0.815 0.839 1
Ni5 0.976 0.815 0.161 1
Mo1 0.261 0.500 0.761 1
Mo2 0.343 0.843 0.500 1
Mo3 0.657 0.157 0.500 1
Mo4 0.739 0.500 0.239 1
N1 0.500 0.500 0.000 1
```

=====

Material: Ni2Mo3N
Method: DFT, PBE
State: relaxed

* formation energy without anion corrections: -0.0011 eV per atom
* offset from the most stable computed form: 262 meV per atom
* size of the total moment: 0.000 μB per atom

Structure (CIF):
```
data_Ni2Mo3N
_symmetry_space_group_name_H-M 'P 1'
_symmetry_Int_Tables_number 1
_symmetry_space_group_name_Hall 'P 1'
_cell_length_a 6.810
_cell_length_b 6.810
_cell_length_c 6.810
_cell_angle_alpha 90.00
_cell_angle_beta 90.00
_cell_angle_gamma 90.00
loop_
_atom_site_label
_atom_site_fract_x
_atom_site_fract_y
_atom_site_fract_z
_atom_site_occupancy
Ni1 0.046 0.046 0.046 1
Ni2 0.204 0.796 0.296 1
Ni3 0.296 0.204 0.796 1
Ni4 0.454 0.954 0.546 1
Ni5 0.546 0.454 0.954 1
Ni6 0.704 0.704 0.704 1
Ni7 0.796 0.296 0.204 1
Ni8 0.954 0.546 0.454 1
Mo1 0.080 0.875 0.670 1
Mo2 0.125 0.170 0.420 1
Mo3 0.170 0.420 0.125 1
Mo4 0.330 0.580 0.625 1
Mo5 0.375 0.830 0.920 1
Mo6 0.420 0.125 0.170 1
Mo7 0.580 0.625 0.330 1
Mo8 0.625 0.330 0.580 1
Mo9 0.670 0.080 0.875 1
Mo10 0.830 0.920 0.375 1
Mo11 0.875 0.670 0.080 1
Mo12 0.920 0.375 0.830 1
N1 0.125 0.375 0.625 1
N2 0.375 0.625 0.125 1
N3 0.625 0.125 0.375 1
N4 0.875 0.875 0.875 1
```

=====

Material: Ni2Mo3N
Method: DFT, PBE
State: relaxed

* formation energy without anion corrections: -0.2633 eV per atom
* offset from the most stable computed form: 0 meV per atom
* size of the total moment: 0.000 μB per atom

Structure (CIF):
```
data_Ni2Mo3N
_symmetry_space_group_name_H-M 'P 1'
_symmetry_Int_Tables_number 1
_symmetry_space_group_name_Hall 'P 1'
_cell_length_a 6.660
_cell_length_b 6.660
_cell_length_c 6.660
_cell_angle_alpha 90.00
_cell_angle_beta 90.00
_cell_angle_gamma 90.00
loop_
_atom_site_label
_atom_site_fract_x
_atom_site_fract_y
_atom_site_fract_z
_atom_site_occupancy
Ni1 0.066 0.066 0.066 1
Ni2 0.184 0.816 0.316 1
Ni3 0.316 0.184 0.816 1
Ni4 0.434 0.934 0.566 1
Ni5 0.566 0.434 0.934 1
Ni6 0.684 0.684 0.684 1
Ni7 0.816 0.316 0.184 1
Ni8 0.934 0.566 0.434 1
Mo1 0.049 0.875 0.701 1
Mo2 0.125 0.201 0.451 1
Mo3 0.201 0.451 0.125 1
Mo4 0.299 0.549 0.625 1
Mo5 0.375 0.799 0.951 1
Mo6 0.451 0.125 0.201 1
Mo7 0.549 0.625 0.299 1
Mo8 0.625 0.299 0.549 1
Mo9 0.701 0.049 0.875 1
Mo10 0.799 0.951 0.375 1
Mo11 0.875 0.701 0.049 1
Mo12 0.951 0.375 0.799 1
N1 0.125 0.625 0.875 1
N2 0.375 0.375 0.375 1
N3 0.625 0.875 0.125 1
N4 0.875 0.125 0.625 1
```

=====

Material: Pa2NiMoN5
Method: DFT, PBE
State: relaxed

* formation energy without anion corrections: -0.9099 eV per atom
* size of the total moment: 0.000 μB per atom

Structure (CIF):
```
data_Pa2NiMoN5
_symmetry_space_group_name_H-M 'P 1'
_symmetry_Int_Tables_number 1
_symmetry_space_group_name_Hall 'P 1'
_cell_length_a 6.832
_cell_length_b 6.832
_cell_length_c 9.800
_cell_angle_alpha 90.00
_cell_angle_beta 90.00
_cell_angle_gamma 152.37
loop_
_atom_site_label
_atom_site_fract_x
_atom_site_fract_y
_atom_site_fract_z
_atom_site_occupancy
Pa1 0.112 0.888 0.500 1
Pa2 0.134 0.866 0.126 1
Pa3 0.866 0.134 0.626 1
Pa4 0.888 0.112 0.000 1
Ni1 0.447 0.553 0.266 1
Ni2 0.553 0.447 0.766 1
Mo1 0.192 0.808 0.825 1
Mo2 0.808 0.192 0.325 1
N1 0.045 0.955 0.881 1
N2 0.290 0.710 0.480 1
N3 0.311 0.689 0.180 1
N4 0.349 0.651 0.823 1
N5 0.492 0.508 0.588 1
N6 0.508 0.492 0.088 1
N7 0.651 0.349 0.323 1
N8 0.689 0.311 0.680 1
N9 0.710 0.290 0.980 1
N10 0.955 0.045 0.381 1
```

=====

Material: NiMo2PdN
Method: DFT, PBE
State: relaxed

* formation energy without anion corrections: -0.0953 eV per atom
* size of the total moment: 0.000 μB per atom

Structure (CIF):
```
data_NiMo2PdN
_symmetry_space_group_name_H-M 'P 1'
_symmetry_Int_Tables_number 1
_symmetry_space_group_name_Hall 'P 1'
_cell_length_a 4.073
_cell_length_b 4.073
_cell_length_c 3.912
_cell_angle_alpha 90.00
_cell_angle_beta 90.00
_cell_angle_gamma 90.00
loop_
_atom_site_label
_atom_site_fract_x
_atom_site_fract_y
_atom_site_fract_z
_atom_site_occupancy
Ni1 0.000 0.000 0.000 1
Mo1 0.000 0.500 0.500 1
Mo2 0.500 0.000 0.500 1
Pd1 0.500 0.500 0.000 1
N1 0.000 0.000 0.500 1
```

=====

Number 1: E -8.5551 eV/atom. Number 2: E -8.3865 eV/atom. Number 3: E -8.4157 eV/atom. Number 4: E -8.9396 eV/atom. Number 5: E -9.1524 eV/atom. Number 6: E -7.9949 eV/atom. Number 7: E -8.7313 eV/atom. Number 8: E -8.9935 eV/atom. Number 9: E -9.4911 eV/atom. Number 10: E -8.2877 eV/atom.